A plane-wave DFT calculation with PBE-GGA was carried out for a relaxed structure of Pa2TaNi3Ge4.

Cell and atoms, written as POSCAR:
```
Pa2TaNi3Ge4
1.0
4.0517 0.0000 0.0000
0.0000 4.0517 0.0000
0.0000 0.0000 10.3807
Pa Ta Ni Ge
2 1 3 4
Direct
0.5000 0.0000 0.2373
0.0000 0.5000 0.7627
0.5000 0.5000 0.5000
0.0000 0.0000 0.5000
0.5000 0.0000 0.8787
0.0000 0.5000 0.1213
0.5000 0.5000 0.0000
0.0000 0.0000 0.0000
0.5000 0.0000 0.6544
0.0000 0.5000 0.3456
```

## Properties
- Calculated total energy: -7.142 eV/atom
- Calculated formation energy: -476 meV/atom
- Spin magnetization: 0.0 Bohr magnetons per cell